(1)
This record from Alexandria via LeMat-Bulk describes crystalline UFe4Bi at its relaxed geometry. The functional is GGA-PBE.

Cell and atoms, written as POSCAR:
```
UFe4Bi
1.0
0.0000 3.6248 3.6248
3.6248 0.0000 3.6248
3.6248 3.6248 0.0000
U Fe Bi
1 4 1
Direct
0.0000 0.0000 0.0000
0.1235 0.6255 0.6255
0.6255 0.1235 0.6255
0.6255 0.6255 0.1235
0.6255 0.6255 0.6255
0.2500 0.2500 0.2500
```

Results
Total magnetization = 6.51 μB/cell

=====

(2)
This record from Alexandria via LeMat-Bulk describes crystalline VFeBi3 at its relaxed geometry. The functional is GGA-PBE.

Cell and atoms, written as POSCAR:
```
VFeBi3
1.0
5.1480 0.0000 0.0000
0.0000 5.1480 0.0000
0.0000 0.0000 5.1480
V Fe Bi
1 1 3
Direct
0.0000 0.0000 0.0000
0.5000 0.5000 0.5000
0.0000 0.5000 0.5000
0.5000 0.0000 0.5000
0.5000 0.5000 0.0000
```

Results
Total magnetization = 5.47 μB/cell
Relative energy among the computed polymorphs = 0.00 kcal/mol of atoms

=====

(3)
This record from Alexandria via LeMat-Bulk describes crystalline V3FeBi at its relaxed geometry. The functional is GGA-PBE.

Cell and atoms, written as POSCAR:
```
V3FeBi
1.0
4.3937 0.0000 0.0000
0.0000 4.3937 0.0000
0.0000 0.0000 4.3937
V Fe Bi
3 1 1
Direct
0.0000 0.0000 0.5000
0.0000 0.5000 0.0000
0.5000 0.0000 0.0000
0.0000 0.0000 0.0000
0.5000 0.5000 0.5000
```

Results
Total magnetization = 0.00 μB/cell
Relative energy among the computed polymorphs = 0.00 kcal/mol of atoms

=====

(4)
This record from Alexandria via LeMat-Bulk describes crystalline VFeBi at its relaxed geometry. The functional is GGA-PBE.

Cell and atoms, written as POSCAR:
```
VFeBi
1.0
3.1578 0.0000 0.0000
0.0000 5.4837 0.0000
-1.5758 0.0000 6.0662
V Fe Bi
2 2 2
Direct
0.0000 0.0000 0.0000
0.0000 0.5000 0.0000
0.3927 0.2500 0.7837
0.6073 0.7500 0.2163
0.3253 0.7500 0.6491
0.6747 0.2500 0.3509
```

Results
Total magnetization = 1.34 μB/cell

=====

(5)
This record from Alexandria via LeMat-Bulk describes crystalline VFe2BiW at its relaxed geometry. The functional is GGA-PBE.

Cell and atoms, written as POSCAR:
```
VFe2BiW
1.0
4.1994 0.0000 0.0000
0.0000 4.1994 0.0000
0.0000 0.0000 4.9718
V Fe Bi W
1 2 1 1
Direct
0.0000 0.0000 0.0000
0.0000 0.5000 0.0000
0.5000 0.0000 0.0000
0.0000 0.0000 0.5000
0.5000 0.5000 0.5000
```

Results
Total magnetization = 2.95 μB/cell

=====

(6)
This record from Alexandria via LeMat-Bulk describes crystalline FeBi3W at its relaxed geometry. The functional is GGA-PBE.

Cell and atoms, written as POSCAR:
```
FeBi3W
1.0
5.3953 0.0000 0.0000
0.0000 5.3953 0.0000
0.0000 0.0000 5.3953
Fe Bi W
1 3 1
Direct
0.0000 0.0000 0.0000
0.0000 0.5000 0.5000
0.5000 0.0000 0.5000
0.5000 0.5000 0.0000
0.5000 0.5000 0.5000
```

Results
Total magnetization = 3.41 μB/cell
Relative energy among the computed polymorphs = 0.00 kcal/mol of atoms

=====

(7)
This record from Alexandria via LeMat-Bulk describes crystalline FeBi2W at its relaxed geometry. The functional is GGA-PBE.

Cell and atoms, written as POSCAR:
```
FeBi2W
1.0
-3.2340 3.2340 5.9122
3.2340 -3.2340 5.9122
3.2340 3.2340 -5.9122
Fe Bi W
2 4 2
Direct
0.0000 0.0000 0.0000
0.7500 0.2500 0.5000
0.1157 0.6250 0.9907
0.3750 0.3657 0.4907
0.6343 0.1250 0.0093
0.8750 0.8843 0.5093
0.2500 0.7500 0.5000
0.5000 0.5000 0.0000
```

Results
Total magnetization = 9.77 μB/cell
Relative energy among the computed polymorphs = 9.72 kcal/mol of atoms

=====

(8)
This record from Alexandria via LeMat-Bulk describes crystalline FeBi3W at its relaxed geometry. The functional is GGA-PBE.

Cell and atoms, written as POSCAR:
```
FeBi3W
1.0
5.0648 0.0000 0.0000
0.0000 5.0648 0.0000
0.0000 0.0000 5.0648
Fe Bi W
1 3 1
Direct
0.0000 0.0000 0.0000
0.0000 0.0000 0.5000
0.0000 0.5000 0.0000
0.5000 0.0000 0.0000
0.5000 0.5000 0.5000
```

Results
Total magnetization = 3.53 μB/cell
Relative energy among the computed polymorphs = 1.26 kcal/mol of atoms

=====

(9)
This record from Alexandria via LeMat-Bulk describes crystalline Fe3BiW at its relaxed geometry. The functional is GGA-PBE.

Cell and atoms, written as POSCAR:
```
Fe3BiW
1.0
4.5963 0.0000 0.0000
0.0000 4.5963 0.0000
0.0000 0.0000 4.5963
Fe Bi W
3 1 1
Direct
0.0000 0.0000 0.5000
0.0000 0.5000 0.0000
0.5000 0.0000 0.0000
0.5000 0.5000 0.5000
0.0000 0.0000 0.0000
```

Results
Total magnetization = 5.19 μB/cell
Relative energy among the computed polymorphs = 0.00 kcal/mol of atoms

=====

(10)
This record from Alexandria via LeMat-Bulk describes crystalline Fe2BiW at its relaxed geometry. The functional is GGA-PBE.

Cell and atoms, written as POSCAR:
```
Fe2BiW
1.0
-2.7932 2.7932 5.5616
2.7932 -2.7932 5.5616
2.7932 2.7932 -5.5616
Fe Bi W
4 2 2
Direct
0.0866 0.6250 0.9616
0.3750 0.3366 0.4616
0.6634 0.1250 0.0384
0.8750 0.9134 0.5384
0.2500 0.7500 0.5000
0.5000 0.5000 0.0000
0.0000 0.0000 0.0000
0.7500 0.2500 0.5000
```

Results
Total magnetization = 0.00 μB/cell

=====

(11)
This record from Alexandria via LeMat-Bulk describes crystalline FeBiW3 at its relaxed geometry. The functional is GGA-PBE.

Cell and atoms, written as POSCAR:
```
FeBiW3
1.0
4.5768 0.0000 0.0000
0.0000 4.5768 0.0000
0.0000 0.0000 4.5768
Fe Bi W
1 1 3
Direct
0.0000 0.0000 0.0000
0.5000 0.5000 0.5000
0.0000 0.0000 0.5000
0.0000 0.5000 0.0000
0.5000 0.0000 0.0000
```

Results
Total magnetization = 0.00 μB/cell

=====

(12)
This record from Alexandria via LeMat-Bulk describes crystalline FeBi2W at its relaxed geometry. The functional is GGA-PBE.

Cell and atoms, written as POSCAR:
```
FeBi2W
1.0
0.0000 3.3877 3.3877
3.3877 0.0000 3.3877
3.3877 3.3877 0.0000
Fe Bi W
1 2 1
Direct
0.0000 0.0000 0.0000
0.2500 0.2500 0.2500
0.7500 0.7500 0.7500
0.5000 0.5000 0.5000
```

Results
Total magnetization = 0.00 μB/cell
Relative energy among the computed polymorphs = 0.00 kcal/mol of atoms

=====

(13)
This record from Alexandria via LeMat-Bulk describes crystalline ZnFeBiW2 at its relaxed geometry. The functional is GGA-PBE.

Cell and atoms, written as POSCAR:
```
ZnFeBiW2
1.0
4.6728 0.0000 0.0000
0.0000 4.6728 0.0000
0.0000 0.0000 4.3568
Zn Fe Bi W
1 1 1 2
Direct
0.0000 0.0000 0.0000
0.0000 0.0000 0.5000
0.5000 0.5000 0.5000
0.0000 0.5000 0.0000
0.5000 0.0000 0.0000
```

Results
Total magnetization = 3.04 μB/cell

=====

(14)
This record from Alexandria via LeMat-Bulk describes crystalline YFeBi3 at its relaxed geometry. The functional is GGA-PBE.

Cell and atoms, written as POSCAR:
```
YFeBi3
1.0
5.8412 0.0000 0.0000
0.0000 5.8412 0.0000
0.0000 0.0000 5.8412
Y Fe Bi
1 1 3
Direct
0.0000 0.0000 0.0000
0.5000 0.5000 0.5000
0.0000 0.0000 0.5000
0.0000 0.5000 0.0000
0.5000 0.0000 0.0000
```

Results
Total magnetization = 3.61 μB/cell
Relative energy among the computed polymorphs = 15.80 kcal/mol of atoms

=====

(15)
This record from Alexandria via LeMat-Bulk describes crystalline Y12Fe6Bi at its relaxed geometry. The functional is GGA-PBE.

Cell and atoms, written as POSCAR:
```
Y12Fe6Bi
1.0
-4.9003 4.9003 4.9003
4.9003 -4.9003 4.9003
4.9003 4.9003 -4.9003
Y Fe Bi
12 6 1
Direct
0.1039 0.8023 0.3016
0.1977 0.3016 0.4993
0.1977 0.6984 0.8961
0.3016 0.1039 0.8023
0.3016 0.4993 0.1977
0.4993 0.1977 0.3016
0.5007 0.8023 0.6984
0.6984 0.5007 0.8023
0.6984 0.8961 0.1977
0.8023 0.3016 0.1039
0.8023 0.6984 0.5007
0.8961 0.1977 0.6984
0.1076 0.6076 0.5000
0.3924 0.5000 0.8924
0.5000 0.1076 0.6076
0.5000 0.8924 0.3924
0.6076 0.5000 0.1076
0.8924 0.3924 0.5000
0.0000 0.0000 0.0000
```

Results
Total magnetization = 5.41 μB/cell

=====

(16)
This record from Alexandria via LeMat-Bulk describes crystalline Y3FeBi at its relaxed geometry. The functional is GGA-PBE.

Cell and atoms, written as POSCAR:
```
Y3FeBi
1.0
5.1742 0.0000 0.0000
0.0000 5.1742 0.0000
0.0000 0.0000 5.1742
Y Fe Bi
3 1 1
Direct
0.0000 0.0000 0.5000
0.0000 0.5000 0.0000
0.5000 0.0000 0.0000
0.0000 0.0000 0.0000
0.5000 0.5000 0.5000
```

Results
Total magnetization = 0.00 μB/cell

=====

(17)
This record from Alexandria via LeMat-Bulk describes crystalline Y6Fe2Bi at its relaxed geometry. The functional is GGA-PBE.

Cell and atoms, written as POSCAR:
```
Y6Fe2Bi
1.0
-4.8401 4.8620 5.0422
4.8401 -4.8620 5.0422
4.8401 4.8620 -5.0422
Y Fe Bi
12 4 2
Direct
0.0089 0.2301 0.7788
0.1859 0.2865 0.4724
0.1859 0.7135 0.8994
0.3142 0.0110 0.6968
0.3142 0.6174 0.3032
0.4513 0.2301 0.2212
0.5487 0.7699 0.7788
0.6858 0.3826 0.6968
0.6858 0.9890 0.3032
0.8141 0.2865 0.1006
0.8141 0.7135 0.5276
0.9911 0.7699 0.2212
0.1067 0.6067 0.5000
0.3895 0.0000 0.3895
0.6105 0.0000 0.6105
0.8933 0.3933 0.5000
0.0000 0.0000 0.0000
0.5000 0.5000 0.0000
```

Results
Total magnetization = 0.69 μB/cell

=====

(18)
This record from Alexandria via LeMat-Bulk describes crystalline Y2Fe2Bi at its relaxed geometry. The functional is GGA-PBE.

Cell and atoms, written as POSCAR:
```
Y2Fe2Bi
1.0
7.0306 0.0000 0.0000
0.0000 7.0306 0.0000
0.0000 0.0000 4.2290
Y Fe Bi
4 4 2
Direct
0.1768 0.3232 0.0000
0.3232 0.8232 0.0000
0.6768 0.1768 0.0000
0.8232 0.6768 0.0000
0.1054 0.6054 0.5000
0.3946 0.1054 0.5000
0.6054 0.8946 0.5000
0.8946 0.3946 0.5000
0.0000 0.0000 0.5000
0.5000 0.5000 0.5000
```

Results
Total magnetization = 0.00 μB/cell

=====

(19)
This record from Alexandria via LeMat-Bulk describes crystalline Y2FeBi4 at its relaxed geometry. The functional is GGA-PBE.

Cell and atoms, written as POSCAR:
```
Y2FeBi4
1.0
-2.6612 2.6612 7.6208
2.6612 -2.6612 7.6208
2.6612 2.6612 -7.6208
Y Fe Bi
2 1 4
Direct
0.1228 0.1228 0.0000
0.8772 0.8772 0.0000
0.5000 0.5000 0.0000
0.0000 0.5000 0.5000
0.3257 0.3257 0.0000
0.5000 0.0000 0.5000
0.6743 0.6743 0.0000
```

Results
Total magnetization = 2.25 μB/cell

=====

(20)
This record from Alexandria via LeMat-Bulk describes crystalline Y5Fe2Bi at its relaxed geometry. The functional is GGA-PBE.

Cell and atoms, written as POSCAR:
```
Y5Fe2Bi
1.0
-3.7558 3.7558 7.3983
3.7558 -3.7558 7.3983
3.7558 3.7558 -7.3983
Y Fe Bi
10 4 2
Direct
0.0000 0.0000 0.0000
0.0354 0.5354 0.8364
0.1990 0.0354 0.5000
0.3010 0.8010 0.8364
0.4646 0.3010 0.5000
0.5000 0.5000 0.0000
0.5354 0.6990 0.5000
0.6990 0.1990 0.1636
0.8010 0.9646 0.5000
0.9646 0.4646 0.1636
0.1104 0.3896 0.5000
0.3896 0.8896 0.2792
0.6104 0.1104 0.7208
0.8896 0.6104 0.5000
0.2500 0.2500 0.0000
0.7500 0.7500 0.0000
```

Results
Total magnetization = 3.19 μB/cell

=====

no.,formation energy (kcal/mol of atoms)
1,4.384
2,18.748
3,13.262
4,7.267
5,38.210
6,29.988
7,33.646
8,31.248
9,31.101
10,30.477
11,31.972
12,23.928
13,38.728
14,21.966
15,-2.700
16,-4.330
17,-5.044
18,-1.319
19,-0.622
20,-5.157